A plane-wave DFT calculation with PBE-GGA was carried out for Ti2Fe2Co5Ge after structural relaxation.

Summary:
Magnetic moment   14.5 Bohr magnetons per cell
DOS(E_F)   11.66 states/eV/f.u.
ΔH_f (0 K)   -0.127 eV per atom
Crystal system   tetragonal
Space group   P4/mbm (127)

a b c (Å): 8.237 8.237 3.661
angles (deg): 90.00 90.00 90.00
Positions (direct):
Ti (0.174, 0.326, 0.000)
Ti (0.326, 0.826, 0.000)
Ti (0.674, 0.174, 0.000)
Ti (0.826, 0.674, 0.000)
Fe (0.126, 0.626, 0.000)
Fe (0.374, 0.126, 0.000)
Fe (0.626, 0.874, 0.000)
Fe (0.874, 0.374, 0.000)
Co (0.000, 0.500, 0.500)
Co (0.066, 0.796, 0.500)
Co (0.204, 0.066, 0.500)
Co (0.296, 0.566, 0.500)
Co (0.434, 0.296, 0.500)
Co (0.500, 0.000, 0.500)
Co (0.566, 0.704, 0.500)
Co (0.704, 0.434, 0.500)
Co (0.796, 0.934, 0.500)
Co (0.934, 0.204, 0.500)
Ge (0.000, 0.000, 0.000)
Ge (0.500, 0.500, 0.000)


A plane-wave DFT calculation with PBE-GGA was carried out for TlFeCo2Ge after structural relaxation.

Summary:
Magnetic moment   6.2 Bohr magnetons per cell
DOS(E_F)   9.88 states/eV/f.u.
ΔH_f (0 K)   1.688 eV per atom
Crystal system   tetragonal
Space group   P4/mmm (123)

a b c (Å): 4.776 4.776 4.858
angles (deg): 90.00 90.00 90.00
Positions (direct):
Tl (0.000, 0.000, 0.000)
Fe (0.000, 0.000, 0.500)
Co (0.000, 0.500, 0.000)
Co (0.500, 0.000, 0.000)
Ge (0.500, 0.500, 0.500)


A plane-wave DFT calculation with PBE-GGA was carried out for TmFeCoGe2 after structural relaxation.

Summary:
Magnetic moment   0.0 Bohr magnetons per cell
DOS(E_F)   2.90 states/eV/f.u.
ΔH_f (0 K)   -0.533 eV per atom
Crystal system   tetragonal
Space group   I-4m2 (119)

a b c (Å): 5.688 5.688 5.688
angles (deg): 139.03 139.03 59.33
Positions (direct):
Tm (0.000, 0.000, 0.000)
Fe (0.750, 0.250, 0.500)
Co (0.250, 0.750, 0.500)
Ge (0.371, 0.371, 0.000)
Ge (0.629, 0.629, 0.000)


What did the third record say?
A plane-wave DFT calculation with PBE-GGA was carried out for TmFeCoGe2 after structural relaxation.

Summary:
Magnetic moment   0.0 Bohr magnetons per cell
DOS(E_F)   2.90 states/eV/f.u.
ΔH_f (0 K)   -0.533 eV per atom
Crystal system   tetragonal
Space group   I-4m2 (119)

a b c (Å): 5.688 5.688 5.688
angles (deg): 139.03 139.03 59.33
Positions (direct):
Tm (0.000, 0.000, 0.000)
Fe (0.750, 0.250, 0.500)
Co (0.250, 0.750, 0.500)
Ge (0.371, 0.371, 0.000)
Ge (0.629, 0.629, 0.000)